one | {"formula": "V3FeOs2", "functional": "PBE", "state": "relaxed", "cell": [[2.9921, 0.0000, 0.0000], [0.0000, 2.9921, 0.0000], [0.0000, 0.0000, 8.8624]], "species": ["V", "V", "V", "Fe", "Os", "Os"], "frac_coords": [[0.0000, 0.0000, 0.3460], [0.0000, 0.0000, 0.0000], [0.0000, 0.0000, 0.6540], [0.5000, 0.5000, 0.5000], [0.5000, 0.5000, 0.1744], [0.5000, 0.5000, 0.8256]], "spacegroup": "P4/mmm"}

=====

two | {"formula": "V3FeOs2", "functional": "PBE", "state": "relaxed", "cell": [[-2.2421, -1.8441, -3.0837], [4.0596, -1.0981, -5.2032], [1.3718, -5.3433, 2.1979]], "species": ["Os", "Os", "Os", "Os", "V", "V", "V", "V", "V", "V", "Fe", "Fe"], "frac_coords": [[0.6665, 0.6670, 0.5000], [0.0000, 0.0000, 0.5000], [0.3335, 0.3330, 0.5000], [0.0000, 0.0000, 0.0000], [0.1698, 0.6604, 0.2393], [0.8302, 0.3396, 0.7607], [0.5000, 0.0000, 0.7550], [0.1698, 0.6604, 0.7607], [0.5000, 0.0000, 0.2450], [0.8302, 0.3396, 0.2393], [0.3354, 0.3291, 0.0000], [0.6646, 0.6709, 0.0000]], "spacegroup": "Cmmm"}

=====

We find two to be the most stable, with the next structure 0.011 eV/atom higher.

=====

one | {"formula": "VFeOs3", "functional": "PBE", "state": "relaxed", "cell": [[4.3835, 0.0000, 0.0000], [0.0000, 4.3835, 0.0000], [0.0000, 0.0000, 4.3835]], "species": ["Os", "Os", "Os", "Fe", "V"], "frac_coords": [[0.0000, 0.5000, 0.0000], [0.0000, 0.0000, 0.5000], [0.5000, 0.0000, 0.0000], [0.0000, 0.0000, 0.0000], [0.5000, 0.5000, 0.5000]], "spacegroup": "Pm-3m"}

=====

two | {"formula": "VFeOs3", "functional": "PBE", "state": "relaxed", "cell": [[4.4559, 0.0000, 0.0000], [0.0000, 4.4559, 0.0000], [0.0000, 0.0000, 4.4559]], "species": ["Os", "Os", "Os", "V", "Fe"], "frac_coords": [[0.0000, 0.5000, 0.0000], [0.0000, 0.0000, 0.5000], [0.5000, 0.0000, 0.0000], [0.0000, 0.0000, 0.0000], [0.5000, 0.5000, 0.5000]], "spacegroup": "Pm-3m"}

=====

We find one to be the most stable, with the next structure 0.153 eV/atom higher.

=====

one | {"formula": "VFeOs", "functional": "PBE", "state": "relaxed", "cell": [[3.0077, 0.0000, 0.0000], [0.0000, 3.0077, 0.0000], [-1.5038, -1.5038, 4.3774]], "species": ["Os", "V", "Fe"], "frac_coords": [[0.2788, 0.2788, 0.5576], [0.6153, 0.6153, 0.2305], [0.9559, 0.9559, 0.9119]], "spacegroup": "I4mm"}

=====

two | {"formula": "VFeOs", "functional": "PBE", "state": "relaxed", "cell": [[-1.7951, 3.7432, -0.6459], [-2.2455, -0.4474, 3.6484], [4.1404, 0.0701, 2.5569]], "species": ["V", "V", "Fe", "Fe", "Os", "Os"], "frac_coords": [[0.2090, 0.7911, 0.9286], [0.0359, 0.2911, 0.5837], [0.8736, 0.7911, 0.2572], [0.3712, 0.2911, 0.2551], [0.5400, 0.7911, 0.5896], [0.7048, 0.2911, 0.9227]], "spacegroup": "Cmcm"}

=====

three | {"formula": "VFeOs", "functional": "PBE", "state": "relaxed", "cell": [[-3.2222, 2.3854, 4.7454], [-4.5866, -1.8014, -4.9196], [3.4601, -5.5361, 2.4216]], "species": ["Fe", "Fe", "Fe", "Fe", "Fe", "Fe", "Os", "Os", "Os", "Os", "Os", "Os", "V", "V", "V", "V", "V", "V"], "frac_coords": [[0.9228, 0.4804, 0.7984], [0.1244, 0.2016, 0.6820], [0.4423, 0.3180, 0.5196], [0.8756, 0.7984, 0.3180], [0.5577, 0.6820, 0.4804], [0.0772, 0.5196, 0.2016], [0.3057, 0.2672, 0.1097], [0.9614, 0.1574, 0.2672], [0.0386, 0.8426, 0.7328], [0.6943, 0.7328, 0.8903], [0.8040, 0.1097, 0.8426], [0.1960, 0.8903, 0.1574], [0.3215, 0.9066, 0.5545], [0.2330, 0.5545, 0.6480], [0.4150, 0.6480, 0.0934], [0.6785, 0.0934, 0.4455], [0.5850, 0.3520, 0.9066], [0.7670, 0.4455, 0.3520]], "spacegroup": "R-3"}

=====

We find one to be the most stable, with the next structure 0.072 eV/atom higher.

=====

one | {"formula": "V4FeOs", "functional": "PBE", "state": "relaxed", "cell": [[4.0025, 0.0000, 0.0006], [-0.0001, 4.0039, 0.0018], [0.0054, 0.0095, 5.7445]], "species": ["V", "V", "V", "V", "Fe", "Os"], "frac_coords": [[0.0016, 0.4977, 0.7346], [0.0010, 0.4969, 0.2617], [0.5011, 0.9966, 0.2616], [0.5015, 0.9979, 0.7346], [0.0013, 0.9973, 0.4981], [0.5013, 0.4973, 0.9982]], "spacegroup": "C2/m"}

=====

two | {"formula": "V4FeOs", "functional": "PBE", "state": "relaxed", "cell": [[-0.0562, -0.5010, -2.9062], [-2.4593, -1.5959, 0.3235], [-4.9177, 7.3408, -1.1704]], "species": ["V", "V", "V", "V", "Os", "Fe"], "frac_coords": [[0.5000, 0.5000, 0.8402], [0.0000, 0.0000, 0.3252], [0.5000, 0.5000, 0.1598], [0.0000, 0.0000, 0.6748], [0.5000, 0.5000, 0.5000], [0.0000, 0.0000, 0.0000]], "spacegroup": "P4/mmm"}

=====

We find two to be the most stable, with the next structure 0.560 eV/atom higher.

=====

one | {"formula": "V3Fe2Os", "functional": "PBE", "state": "relaxed", "cell": [[-1.8342, -2.2289, -0.5925], [1.6762, -0.7684, -2.2985], [4.6833, -5.2264, 5.1626]], "species": ["Fe", "Fe", "Os", "V", "V", "V"], "frac_coords": [[0.5000, 0.5000, 0.8364], [0.5000, 0.5000, 0.1636], [0.5000, 0.5000, 0.5000], [0.0000, 0.0000, 0.6802], [0.0000, 0.0000, 0.0000], [0.0000, 0.0000, 0.3198]], "spacegroup": "P4/mmm"}

=====

two | {"formula": "V3Fe2Os", "functional": "PBE", "state": "relaxed", "cell": [[4.1658, 0.0000, 0.0163], [2.0829, 6.2332, 0.0082], [-0.0233, 0.0000, 5.8548]], "species": ["V", "V", "V", "V", "V", "V", "Fe", "Fe", "Fe", "Fe", "Os", "Os"], "frac_coords": [[0.5000, 0.0000, 0.7433], [0.1632, 0.6735, 0.7400], [0.5000, 0.0000, 0.2567], [0.8367, 0.3265, 0.7400], [0.1633, 0.6735, 0.2600], [0.8368, 0.3265, 0.2600], [0.0000, 0.0000, 0.0000], [0.3311, 0.3378, 0.5000], [0.6689, 0.6622, 0.5000], [0.0000, 0.0000, 0.5000], [0.6656, 0.6687, 0.0000], [0.3344, 0.3313, 0.0000]], "spacegroup": "Cmmm"}

=====

We find two to be the most stable, with the next structure 0.009 eV/atom higher.

=====

one | {"formula": "FeOsW", "functional": "PBE", "state": "relaxed", "cell": [[-2.1285, -0.1863, -3.7129], [-1.4708, -2.1182, 3.4207], [-1.4443, 2.1646, 0.7193]], "species": ["Os", "Fe", "W"], "frac_coords": [[0.6667, 0.3333, 0.3373], [0.0000, 0.0000, 0.9762], [0.3333, 0.6667, 0.6865]], "spacegroup": "P3m1"}

=====

two | {"formula": "FeOsW", "functional": "PBE", "state": "relaxed", "cell": [[5.9628, 0.0051, -0.0053], [5.3490, 2.6344, 0.0128], [0.6138, 0.1241, 2.6265]], "species": ["Fe", "W", "Os"], "frac_coords": [[0.0066, 0.0066, 0.9934], [0.3394, 0.3394, 0.6606], [0.6540, 0.6540, 0.3460]], "spacegroup": "I4mm"}

=====

We find two to be the most stable, with the next structure 0.019 eV/atom higher.

=====

one | {"formula": "FeOsW", "functional": "PBE", "state": "relaxed", "cell": [[-1.6236, 3.6210, -1.1536], [-3.1689, 0.0928, -2.6510], [-3.7630, 1.0900, 1.3152]], "species": ["Os", "Fe", "W"], "frac_coords": [[0.5000, 0.5000, 0.5000], [0.0000, 0.0000, 0.0000], [0.7500, 0.7500, 0.7500]], "spacegroup": "F-43m"}

=====

two | {"formula": "FeOsW", "functional": "PBE", "state": "relaxed", "cell": [[4.6906, 0.0034, 0.0014], [2.3331, 4.0691, -0.0014], [-3.1301, -2.6946, 2.2233]], "species": ["W", "Os", "Fe"], "frac_coords": [[0.3339, 0.3339, 0.0000], [0.6621, 0.6621, 0.0000], [0.0039, 0.0039, 0.0000]], "spacegroup": "Imm2"}

=====

We find two to be the most stable, with the next structure 0.556 eV/atom higher.

=====

one | {"formula": "FeOs2W", "functional": "PBE", "state": "relaxed", "cell": [[2.7458, 0.0000, 0.0000], [0.0000, 3.7795, 0.0000], [0.0000, 0.0000, 5.4729]], "species": ["W", "Os", "Os", "Fe"], "frac_coords": [[0.5000, 0.5000, 0.2500], [0.0000, 0.0000, 0.9850], [0.0000, 0.0000, 0.5150], [0.5000, 0.5000, 0.7500]], "spacegroup": "Pmmm"}

=====

two | {"formula": "FeOs2W", "functional": "PBE", "state": "relaxed", "cell": [[3.7949, 0.0000, 0.0000], [0.0000, 3.8419, 0.0000], [0.0000, 0.0000, 3.8419]], "species": ["Fe", "W", "Os", "Os"], "frac_coords": [[0.5000, 0.0000, 0.5000], [0.5000, 0.5000, 0.0000], [0.0000, 0.0000, 0.0000], [0.0000, 0.5000, 0.5000]], "spacegroup": "P4/mmm"}

=====

three | {"formula": "FeOs2W", "functional": "PBE", "state": "relaxed", "cell": [[3.8062, 0.0000, 0.0000], [0.0000, 3.8062, 0.0000], [1.9031, 1.9031, 8.6653]], "species": ["W", "W", "Os", "Os", "Os", "Os", "Fe", "Fe"], "frac_coords": [[0.0000, 0.0000, 0.0000], [0.7500, 0.2500, 0.5000], [0.8750, 0.8341, 0.7500], [0.3750, 0.4159, 0.7500], [0.5841, 0.1250, 0.2500], [0.1659, 0.6250, 0.2500], [0.5000, 0.5000, 0.0000], [0.2500, 0.7500, 0.5000]], "spacegroup": "I-42d"}

=====

four | {"formula": "FeOs2W", "functional": "PBE", "state": "relaxed", "cell": [[-2.1900, -3.9690, -1.2138], [3.1624, -3.3674, -0.8257], [-0.5918, 2.9325, 3.6155]], "species": ["W", "Os", "Os", "Fe"], "frac_coords": [[0.5000, 0.5000, 0.0000], [0.2500, 0.7500, 0.5000], [0.0000, 0.0000, 0.0000], [0.7500, 0.2500, 0.5000]], "spacegroup": "I-4m2"}

=====

We find two to be the most stable, with the next structure 0.034 eV/atom higher.